Computed, not measured: a relaxed Fe2CF crystal at the PBE with a Hubbard U level of DFT.

POSCAR file:
```
Fe2CF
1.0
5.3025 0.0000 0.0000
0.0000 5.3025 0.0000
0.0000 0.0000 7.9540
Fe C F
8 4 4
Cartesian
1.1400 1.3256 0.9942 Fe
1.3256 3.7913 2.9827 Fe
1.3256 4.1625 6.9597 Fe
1.5113 1.3256 4.9712 Fe
3.7913 3.9769 4.9712 Fe
3.9769 1.1400 6.9597 Fe
3.9769 1.5113 2.9827 Fe
4.1625 3.9769 0.9942 Fe
0.0000 0.0000 0.0000 C
0.0000 2.6513 1.9885 C
2.6513 0.0000 5.9655 C
2.6513 2.6513 3.9770 C
0.0000 0.0000 3.9770 F
0.0000 2.6513 5.9655 F
2.6513 0.0000 1.9885 F
2.6513 2.6513 0.0000 F
```

Summary:
size of the total moment: 28.0 μB per cell
space-group type: I-42d (122)
energy relative to the lowest polymorph listed for this composition: 0.000 eV/atom